Here is an optimized crystal structure of DySbRuRh from Alexandria via LeMat-Bulk. Energies are from GGA-PBE.

Formation energy (no corrections) ... -0.537 eV/atom
Uncorrected energy ... -27.50 eV per cell
SG ... No. 216

Lattice parameters (Å, degrees): 4.686 4.686 4.686 60.00 60.00 60.00
Fractional positions:
Dy 0.000 0.000 0.000
Sb 0.500 0.500 0.500
Rh 0.250 0.250 0.250
Ru 0.750 0.750 0.750